Entry 1:
The following is a PBE calculation of SrHo2O4 after structural relaxation, from the Open Quantum Materials Database.

## Properties
Symmetry: Pnma, No. 62
Raw total energy in eV for the cell shown: -216.71
Magnetic moment in μB/cell: 0.0

Cell and atoms, written as POSCAR:
```
SrHo2O4
1.0
10.0049 0.0000 0.0000
0.0000 3.3906 0.0000
0.0000 0.0000 11.8472
Sr Ho O
4 8 16
Cartesian
2.4772 0.8477 1.7716
2.5252 2.5430 7.6952
7.4797 0.8477 4.1520
7.5276 2.5430 10.0756
0.7690 0.8477 10.5345
0.7817 0.8477 4.5999
4.2207 2.5430 10.5235
4.2334 2.5430 4.6109
5.7715 0.8477 7.2363
5.7841 0.8477 1.3237
9.2232 2.5430 7.2473
9.2358 2.5430 1.3127
0.1428 2.5430 9.2811
0.7436 0.8477 6.8453
1.2647 2.5430 0.2312
2.1182 2.5430 3.8506
2.8842 0.8477 9.7742
3.7377 0.8477 6.1548
4.2589 2.5430 0.9217
4.8596 0.8477 3.3575
5.1453 2.5430 8.4897
5.7460 0.8477 10.9255
6.2672 2.5430 5.6924
7.1207 2.5430 2.0730
7.8867 0.8477 7.9965
8.7401 0.8477 11.6160
9.2613 2.5430 5.0019
9.8620 0.8477 2.5661
```

---

Entry 2:
The following is a PBE calculation of Sr2Ho2O5 after structural relaxation, from the Open Quantum Materials Database.

## Properties
Symmetry: P4/mmm, No. 123
Raw total energy in eV for the cell shown: -55.82
Magnetic moment in μB/cell: 0.4
Offset from the most stable computed form in kJ per mole of atoms: 92.93

Cell and atoms, written as POSCAR:
```
Sr2Ho2O5
1.0
4.0817 0.0000 0.0000
0.0000 4.0817 0.0000
0.0000 0.0000 9.4132
Sr Ho O
2 2 5
Cartesian
0.0000 0.0000 2.2318
0.0000 0.0000 7.1813
2.0408 2.0408 0.0000
2.0408 2.0408 4.7066
0.0000 0.0000 4.7066
0.0000 2.0408 1.2534
0.0000 2.0408 8.1597
2.0408 0.0000 1.2534
2.0408 0.0000 8.1597
```

---

Entry 3:
The following is a PBE calculation of Sr2Ho2O5 after structural relaxation, from the Open Quantum Materials Database.

## Properties
Symmetry: P4/mmm, No. 123
Raw total energy in eV for the cell shown: -64.49
Magnetic moment in μB/cell: 0.0
Offset from the most stable computed form in kJ per mole of atoms: 0.00

Cell and atoms, written as POSCAR:
```
Sr2Ho2O5
1.0
4.2952 0.0000 0.0000
0.0000 4.2952 0.0000
0.0000 0.0000 8.0736
Sr Ho O
2 2 5
Cartesian
0.0000 0.0000 0.0000
0.0000 0.0000 4.0368
2.1476 2.1476 1.9480
2.1476 2.1476 6.1256
0.0000 2.1476 1.5801
0.0000 2.1476 6.4935
2.1476 0.0000 1.5801
2.1476 0.0000 6.4935
2.1476 2.1476 4.0368
```

---

Entry 4:
The following is a PBE calculation of Sr2HoTaO6 after structural relaxation, from the Open Quantum Materials Database.

## Properties
Symmetry: P2_1/c, No. 14
Raw total energy in eV for the cell shown: -162.91
Magnetic moment in μB/cell: 0.0

Cell and atoms, written as POSCAR:
```
Sr2HoTaO6
1.0
5.7962 0.0000 0.0000
0.0000 5.8653 0.0000
-5.7730 0.0000 8.2224
Sr Ho Ta O
4 2 2 12
Cartesian
-0.0473 0.2129 2.0589
-2.9338 2.7197 6.1702
2.9570 3.1455 2.0523
0.0705 5.6524 6.1635
2.8981 0.0000 0.0000
0.0116 2.9326 4.1112
-2.8865 0.0000 4.1112
0.0000 2.9326 0.0000
-4.6399 1.3155 7.8458
-1.7534 1.6171 3.7346
-4.1840 4.0985 7.8719
-1.2975 4.6994 3.7607
-2.3964 0.1389 6.0500
0.4901 2.7937 1.9388
-0.4669 3.0716 6.2837
2.4196 5.7263 2.1725
1.3207 1.1658 4.4617
4.2072 1.7668 0.3505
1.7766 4.2481 4.4879
4.6631 4.5497 0.3767
```

---

Entry 5:
The following is a PBE calculation of Ho2Ta2O5 after structural relaxation, from the Open Quantum Materials Database.

## Properties
Symmetry: P4/mmm, No. 123
Raw total energy in eV for the cell shown: -77.92
Magnetic moment in μB/cell: 0.0
Offset from the most stable computed form in kJ per mole of atoms: 11.81

Cell and atoms, written as POSCAR:
```
Ho2Ta2O5
1.0
3.4609 0.0000 0.0000
0.0000 3.4609 0.0000
0.0000 0.0000 9.8781
Ho Ta O
2 2 5
Cartesian
0.0000 0.0000 2.3141
0.0000 0.0000 7.5640
1.7305 1.7305 0.0000
1.7305 1.7305 4.9391
0.0000 0.0000 0.0000
0.0000 1.7305 3.7397
0.0000 1.7305 6.1385
1.7305 0.0000 3.7397
1.7305 0.0000 6.1385
```

---

Entry 6:
The following is a PBE calculation of Ho2Ta2O5 after structural relaxation, from the Open Quantum Materials Database.

## Properties
Symmetry: P4/mmm, No. 123
Raw total energy in eV for the cell shown: -79.02
Magnetic moment in μB/cell: 0.0
Offset from the most stable computed form in kJ per mole of atoms: 0.00

Cell and atoms, written as POSCAR:
```
Ho2Ta2O5
1.0
3.9948 0.0000 0.0000
0.0000 3.9948 0.0000
0.0000 0.0000 7.0939
Ho Ta O
2 2 5
Cartesian
0.0000 0.0000 0.0000
0.0000 0.0000 3.5470
1.9974 1.9974 1.3881
1.9974 1.9974 5.7058
0.0000 1.9974 1.8031
0.0000 1.9974 5.2908
1.9974 0.0000 1.8031
1.9974 0.0000 5.2908
1.9974 1.9974 3.5470
```

---

Entry 7:
The following is a PBE calculation of Ho3TaO after structural relaxation, from the Open Quantum Materials Database.

## Properties
Symmetry: Pm-3m, No. 221
Raw total energy in eV for the cell shown: -35.31
Magnetic moment in μB/cell: 0.1

Cell and atoms, written as POSCAR:
```
Ho3TaO
1.0
4.7024 0.0000 0.0000
0.0000 4.7024 0.0000
0.0000 0.0000 4.7024
Ho Ta O
3 1 1
Cartesian
0.0000 0.0000 2.3512
0.0000 2.3512 0.0000
2.3512 0.0000 0.0000
2.3512 2.3512 2.3512
0.0000 0.0000 0.0000
```

---

Entry 8:
The following is a PBE calculation of Tb2HoO4 after structural relaxation, from the Open Quantum Materials Database.

## Properties
Symmetry: Fd-3m, No. 227
Raw total energy in eV for the cell shown: -112.38
Magnetic moment in μB/cell: 0.7

Cell and atoms, written as POSCAR:
```
Tb2HoO4
1.0
0.0000 4.7821 4.7821
4.7821 0.0000 4.7821
4.7821 4.7821 0.0000
Tb Ho O
4 2 8
Cartesian
0.0000 0.0000 0.0000
2.3911 2.3911 0.0000
2.3911 0.0000 2.3911
0.0000 2.3911 2.3911
3.5866 3.5866 3.5866
5.9776 5.9776 5.9776
7.2325 4.7227 4.7227
2.3317 2.3317 2.3317
4.8415 4.8415 2.3317
4.8415 2.3317 4.8415
4.7227 7.2325 4.7227
4.7227 4.7227 7.2325
7.2325 7.2325 7.2325
2.3317 4.8415 4.8415
```

---

Entry 9:
The following is a PBE calculation of Tb2Ho2O5 after structural relaxation, from the Open Quantum Materials Database.

## Properties
Symmetry: P4/mmm, No. 123
Raw total energy in eV for the cell shown: -68.96
Magnetic moment in μB/cell: 1.4
Offset from the most stable computed form in kJ per mole of atoms: 4.57

Cell and atoms, written as POSCAR:
```
Tb2Ho2O5
1.0
3.9020 0.0000 0.0000
0.0000 3.9020 0.0000
0.0000 0.0000 9.3699
Tb Ho O
2 2 5
Cartesian
0.0000 0.0000 2.2760
0.0000 0.0000 7.0939
1.9510 1.9510 0.0000
1.9510 1.9510 4.6850
0.0000 0.0000 4.6850
0.0000 1.9510 1.3431
0.0000 1.9510 8.0269
1.9510 0.0000 1.3431
1.9510 0.0000 8.0269
```

---

Entry 10:
The following is a PBE calculation of Tb2Ho2O5 after structural relaxation, from the Open Quantum Materials Database.

## Properties
Symmetry: P4/mmm, No. 123
Raw total energy in eV for the cell shown: -69.39
Magnetic moment in μB/cell: 1.3
Offset from the most stable computed form in kJ per mole of atoms: 0.00

Cell and atoms, written as POSCAR:
```
Tb2Ho2O5
1.0
3.8772 0.0000 0.0000
0.0000 3.8772 0.0000
0.0000 0.0000 9.4853
Tb Ho O
2 2 5
Cartesian
0.0000 0.0000 0.0000
0.0000 0.0000 4.7427
1.9386 1.9386 2.2961
1.9386 1.9386 7.1892
0.0000 1.9386 1.3813
0.0000 1.9386 8.1040
1.9386 0.0000 1.3813
1.9386 0.0000 8.1040
1.9386 1.9386 4.7427
```

---

Entry 11:
The following is a PBE calculation of Tb2HoO3 after structural relaxation, from the Open Quantum Materials Database.

## Properties
Symmetry: P-3m1, No. 164
Raw total energy in eV for the cell shown: -45.47
Magnetic moment in μB/cell: 0.0

Cell and atoms, written as POSCAR:
```
Tb2HoO3
1.0
3.3993 0.0000 0.0000
-1.6996 2.9439 0.0000
0.0000 0.0000 8.3070
Tb Ho O
2 1 3
Cartesian
0.0000 1.9626 1.3875
1.6996 0.9813 6.9195
0.0000 0.0000 4.1535
0.0000 0.0000 0.0000
0.0000 1.9626 5.4629
1.6996 0.9813 2.8441
```

---

Entry 12:
The following is a PBE calculation of TbHoO4 after structural relaxation, from the Open Quantum Materials Database.

## Properties
Symmetry: Cm, No. 8
Raw total energy in eV for the cell shown: -46.91
Magnetic moment in μB/cell: 0.0

Cell and atoms, written as POSCAR:
```
TbHoO4
1.0
3.3973 -1.8470 0.0000
3.3973 1.8470 0.0000
-0.6711 0.0000 6.1102
Tb Ho O
1 1 4
Cartesian
0.0000 0.0000 0.0000
2.1697 0.0000 2.7963
-0.0116 0.0000 2.3077
2.1814 0.0000 0.5259
3.4838 0.0000 4.7669
4.8121 0.0000 4.1082
```

---

Entry 13:
The following is a PBE calculation of TbHo2O3 after structural relaxation, from the Open Quantum Materials Database.

## Properties
Symmetry: P-3m1, No. 164
Raw total energy in eV for the cell shown: -45.40
Magnetic moment in μB/cell: 0.0

Cell and atoms, written as POSCAR:
```
TbHo2O3
1.0
3.3809 0.0000 0.0000
-1.6905 2.9280 0.0000
0.0000 0.0000 8.3088
Tb Ho O
1 2 3
Cartesian
0.0000 0.0000 0.0000
0.0000 1.9520 5.5355
1.6905 0.9760 2.7733
0.0000 0.0000 4.1544
0.0000 1.9520 1.4734
1.6905 0.9760 6.8353
```

---

Entry 14:
The following is a PBE calculation of TbHoTeO2 after structural relaxation, from the Open Quantum Materials Database.

## Properties
Symmetry: I4mm, No. 107
Raw total energy in eV for the cell shown: -37.11
Magnetic moment in μB/cell: 0.0
Offset from the most stable computed form in kJ per mole of atoms: 0.00

Cell and atoms, written as POSCAR:
```
TbHoTeO2
1.0
-1.9556 1.9556 6.2134
1.9556 -1.9556 6.2134
1.9556 1.9556 -6.2134
Tb Ho Te O
1 1 1 2
Cartesian
0.0000 0.0000 0.0000
0.0000 0.0000 4.0290
0.0000 0.0000 8.2226
1.9556 0.0000 5.0952
0.0000 1.9556 5.0952
```

---

Entry 15:
The following is a PBE calculation of TbHoTeO2 after structural relaxation, from the Open Quantum Materials Database.

## Properties
Symmetry: P3m1, No. 156
Raw total energy in eV for the cell shown: -36.70
Magnetic moment in μB/cell: 0.0
Offset from the most stable computed form in kJ per mole of atoms: 7.89

Cell and atoms, written as POSCAR:
```
TbHoTeO2
1.0
3.8871 0.0000 0.0000
-1.9436 3.3664 0.0000
0.0000 0.0000 7.1759
Tb Ho Te O
1 1 1 2
Cartesian
0.0000 0.0000 0.0000
1.9436 1.1221 2.8057
0.0000 2.2442 4.9791
0.0000 0.0000 2.2830
1.9436 1.1221 0.5536
```

---

Entry 16:
The following is a PBE calculation of HoTc2O4 after structural relaxation, from the Open Quantum Materials Database.

## Properties
Symmetry: Fd-3m, No. 227
Raw total energy in eV for the cell shown: -111.54
Magnetic moment in μB/cell: 6.0

Cell and atoms, written as POSCAR:
```
HoTc2O4
1.0
0.0000 4.4690 4.4690
4.4690 0.0000 4.4690
4.4690 4.4690 0.0000
Ho Tc O
2 4 8
Cartesian
1.1173 1.1173 1.1173
7.8208 7.8208 7.8208
4.4690 2.2345 2.2345
2.2345 4.4690 2.2345
2.2345 2.2345 4.4690
4.4690 4.4690 4.4690
2.3383 2.3383 2.3383
4.3653 4.3653 2.3383
4.3653 2.3383 4.3653
6.5998 4.5728 4.5728
2.3383 4.3653 4.3653
4.5728 6.5998 4.5728
4.5728 4.5728 6.5998
6.5998 6.5998 6.5998
```

---

Entry 17:
The following is a PBE calculation of HoTc2O8 after structural relaxation, from the Open Quantum Materials Database.

## Properties
Symmetry: Fm-3m, No. 225
Raw total energy in eV for the cell shown: -85.59
Magnetic moment in μB/cell: 0.0

Cell and atoms, written as POSCAR:
```
HoTc2O8
1.0
0.0000 4.6914 4.6914
4.6914 0.0000 4.6914
4.6914 4.6914 0.0000
Ho Tc O
1 2 8
Cartesian
0.0000 0.0000 0.0000
2.3457 2.3457 2.3457
7.0371 7.0371 7.0371
1.3361 1.3361 1.3361
3.3553 3.3553 1.3361
3.3553 1.3361 3.3553
8.0467 6.0275 6.0275
1.3361 3.3553 3.3553
6.0275 8.0467 6.0275
6.0275 6.0275 8.0467
8.0467 8.0467 8.0467
```

---

Entry 18:
The following is a PBE calculation of Ho6TeO12 after structural relaxation, from the Open Quantum Materials Database.

## Properties
Symmetry: R-3, No. 148
Raw total energy in eV for the cell shown: -149.97
Magnetic moment in μB/cell: 0.0

Cell and atoms, written as POSCAR:
```
Ho6TeO12
1.0
4.8674 2.8102 3.0910
-4.8674 2.8102 3.0910
0.0000 -5.6204 3.0910
Ho Te O
6 1 12
Cartesian
-2.6023 -2.4648 4.8548
-3.4357 1.0213 4.4181
0.8334 -3.4861 4.4181
-0.8334 3.4861 4.8548
3.4357 -1.0213 4.8548
2.6023 2.4648 4.4181
0.0000 0.0000 4.6364
-1.2423 -4.0080 4.0120
-4.0921 -0.9282 5.2609
-1.6278 -0.3353 3.5938
-2.8499 3.0798 4.0120
1.1042 -1.2420 3.5938
-0.5235 -1.5773 5.6791
0.5235 1.5773 3.5938
-1.1042 1.2420 5.6791
2.8499 -3.0798 5.2609
1.6278 0.3353 5.6791
4.0921 0.9281 4.0120
1.2423 4.0080 5.2609
```

---

Entry 19:
The following is a PBE calculation of Ho2Te5O13 after structural relaxation, from the Open Quantum Materials Database.

## Properties
Symmetry: P-1, No. 2
Raw total energy in eV for the cell shown: -247.88
Magnetic moment in μB/cell: 0.0

Cell and atoms, written as POSCAR:
```
Ho2Te5O13
1.0
6.8964 0.0000 0.0000
2.2125 8.2488 0.0000
0.5672 0.0320 10.4007
Ho Te O
4 10 26
Cartesian
0.7494 2.1894 2.7318
4.3067 3.8905 3.3255
5.3693 4.3903 7.0753
8.9266 6.0914 7.6689
1.9813 2.8584 6.2799
2.9348 6.6317 1.3539
3.3062 3.2910 10.1573
4.2234 7.3105 4.8597
5.4493 7.5321 8.3787
4.2266 0.7487 2.0220
5.4526 0.9703 5.5410
6.3697 4.9898 0.2434
6.7412 1.6491 9.0468
7.6947 5.4224 4.1209
1.0926 2.8857 0.6399
2.5044 6.7904 5.5348
0.5616 0.1717 1.9101
1.4952 2.2202 8.1331
2.1526 4.0342 4.1017
3.1242 4.1082 7.1394
4.2285 6.0945 8.2327
2.9303 1.8253 2.8816
4.0929 6.1474 2.7973
3.5276 4.2492 1.1814
4.9165 8.2092 6.4890
3.6041 1.5557 0.1231
5.0055 5.5846 5.1645
4.6705 2.6962 5.2362
6.0719 6.7251 10.2776
4.7594 0.0717 3.9117
6.1484 4.0316 9.2193
5.5831 2.1334 7.6034
6.7456 6.4556 7.5192
5.4475 2.1864 2.1680
6.5518 4.1726 3.2613
7.5234 4.2466 6.2991
8.1808 6.0606 2.2676
9.1144 8.1091 8.4906
7.1716 1.4904 4.8659
8.5834 5.3951 9.7608
```

---

Entry 20:
The following is a PBE calculation of HoTlTeO after structural relaxation, from the Open Quantum Materials Database.

## Properties
Symmetry: Pmc2_1, No. 26
Raw total energy in eV for the cell shown: -43.03
Magnetic moment in μB/cell: 0.0

Cell and atoms, written as POSCAR:
```
HoTlTeO
1.0
4.8042 0.0000 0.0000
0.0000 8.2493 0.0000
0.0000 0.0000 6.8015
Ho Tl Te O
2 2 2 2
Cartesian
0.0000 0.9843 0.0000
0.0000 7.2651 3.4008
2.4021 2.2407 4.0224
2.4021 6.0086 0.6217
2.4021 2.6441 0.5747
2.4021 5.6053 3.9754
0.0000 0.5933 4.7538
0.0000 7.6560 1.3531
```